(1)
DFT (PBE) results for a relaxed structure of YCo2Ge3.

Values from the calculation:
ΔH_f (0 K)   -0.450 eV per atom
E above lowest polymorph   0.0000 eV per atom

Lattice parameters (Å, degrees): 15.695 3.920 9.590 90.00 104.07 90.00
Space group C2/m (No. 12)
Inequivalent atoms, fractional coordinates:
1 Y 0.000 0.000 0.000 [2 per cell]
2 Y 0.150 0.000 0.697 [4 per cell]
3 Co 0.004 0.500 0.762 [4 per cell]
4 Co 0.143 0.500 0.436 [4 per cell]
5 Co 0.207 0.000 0.082 [4 per cell]
6 Ge 0.000 0.500 0.500 [2 per cell]
7 Ge 0.052 0.000 0.352 [4 per cell]
8 Ge 0.140 0.500 0.182 [4 per cell]
9 Ge 0.143 0.500 0.920 [4 per cell]
10 Ge 0.228 0.000 0.376 [4 per cell]


(2)
DFT (PBE) results for a relaxed structure of K8Br3Cl3O.

Values from the calculation:
Formation energy (no corrections)   -1.69 eV per atom

Lattice parameters (Å, degrees): 9.0790 9.0790 22.8298 90.00 90.00 120.00
Space group R-3m (No. 166, hexagonal axes)
Inequivalent atoms, fractional coordinates:
1 K 0.0000 0.0000 0.2456 [6 per cell]
2 K 0.0553 0.5277 0.2328 [18 per cell]
3 Br 0.0000 0.5000 0.0000 [9 per cell]
4 Cl 0.0000 0.5000 0.5000 [9 per cell]
5 O 0.0000 0.0000 0.5000 [3 per cell]


(3)
DFT (PBE) results for a relaxed structure of InPdPt.

Values from the calculation:
ΔH_f (0 K)   -0.343 eV per atom
E above lowest polymorph   0.0918 eV per atom

Lattice parameters (Å, degrees): 4.4772 4.4772 2.9829 90.00 90.00 120.00
Space group P3m1 (No. 156)
Inequivalent atoms, fractional coordinates:
1 In 0.0000 0.0000 0.0000 [1 per cell]
2 Pd 0.3333 0.6667 0.3103 [1 per cell]
3 Pt 0.6667 0.3333 0.6824 [1 per cell]


(4)
DFT (PBE) results for a relaxed structure of Ac3SnSb2.

Values from the calculation:
Formation energy (no corrections)   -0.97 eV per atom

Lattice parameters (Å, degrees): 15.400 6.793 9.463 90.00 107.89 90.00
Space group C2/c (No. 15)
Inequivalent atoms, fractional coordinates:
1 Ac 0.000 0.001 0.250 [4 per cell]
2 Ac 0.171 0.500 0.085 [8 per cell]
3 Sn 0.000 0.499 0.750 [4 per cell]
4 Sb 0.166 0.000 0.083 [8 per cell]


(5)
DFT (PBE) results for a relaxed structure of LaFePt3.

Values from the calculation:
ΔH_f (0 K)   -0.270 eV per atom
E above lowest polymorph   0.0000 eV per atom

Lattice parameters (Å, degrees): 4.716 4.716 4.716 90.00 90.00 90.00
Space group Pm-3m (No. 221)
Inequivalent atoms, fractional coordinates:
1 La 0.000 0.000 0.000 [1 per cell]
2 Fe 0.500 0.500 0.500 [1 per cell]
3 Pt 0.000 0.500 0.500 [3 per cell]


(6)
DFT (PBE) results for a relaxed structure of KLi2In2.

Values from the calculation:
ΔH_f (0 K)   -0.156 eV per atom
E above lowest polymorph   0.0000 eV per atom

Lattice parameters (Å, degrees): 8.908 8.908 3.146 90.00 90.00 90.00
Space group P4/mbm (No. 127)
Inequivalent atoms, fractional coordinates:
1 K 0.000 0.000 0.000 [2 per cell]
2 Li 0.167 0.333 0.000 [4 per cell]
3 In 0.125 0.625 0.500 [4 per cell]


(7)
DFT (PBE) results for a relaxed structure of Nb2CoIBr.

Values from the calculation:
Formation energy (no corrections)   1.60 eV per atom

Lattice parameters (Å, degrees): 5.197 5.197 4.464 90.00 90.00 90.00
Space group P4/mmm (No. 123)
Inequivalent atoms, fractional coordinates:
1 Nb 0.000 0.500 0.000 [2 per cell]
2 Co 0.000 0.000 0.500 [1 per cell]
3 I 0.000 0.000 0.000 [1 per cell]
4 Br 0.500 0.500 0.500 [1 per cell]


(8)
DFT (PBE) results for a relaxed structure of ErAl2Si.

Values from the calculation:
Formation energy (no corrections)   -0.37 eV per atom

Lattice parameters (Å, degrees): 4.138 4.138 4.299 90.00 90.00 90.00
Space group P4/mmm (No. 123)
Inequivalent atoms, fractional coordinates:
1 Er 0.000 0.000 0.000 [1 per cell]
2 Al 0.000 0.500 0.500 [2 per cell]
3 Si 0.500 0.500 0.000 [1 per cell]


(9)
DFT (PBE) results for a relaxed structure of K2NbCuO4.

Values from the calculation:
Formation energy (no corrections)   -1.82 eV per atom

Lattice parameters (Å, degrees): 6.013 6.013 7.599 90.00 90.00 90.00
Space group I-4 (No. 82)
Inequivalent atoms, fractional coordinates:
1 K 0.000 0.000 0.000 [2 per cell]
2 K 0.000 0.500 0.250 [2 per cell]
3 Nb 0.000 0.500 0.750 [2 per cell]
4 Cu 0.000 0.000 0.500 [2 per cell]
5 O 0.143 0.283 0.609 [8 per cell]


(10)
DFT (PBE) results for a relaxed structure of VPdSCl2.

Values from the calculation:
Formation energy (no corrections)   0.22 eV per atom
E above lowest polymorph   0.3382 eV per atom

Lattice parameters (Å, degrees): 4.741 4.741 4.898 90.00 90.00 90.00
Space group P4/mmm (No. 123)
Inequivalent atoms, fractional coordinates:
1 V 0.000 0.000 0.000 [1 per cell]
2 Pd 0.500 0.500 0.500 [1 per cell]
3 S 0.500 0.500 0.000 [1 per cell]
4 Cl 0.000 0.500 0.500 [2 per cell]


(11)
DFT (PBE) results for a relaxed structure of SrNbPCl2.

Values from the calculation:
Formation energy (no corrections)   -0.93 eV per atom
E above lowest polymorph   0.0000 eV per atom

Lattice parameters (Å, degrees): 4.958 4.958 4.993 90.00 90.00 90.00
Space group P4/mmm (No. 123)
Inequivalent atoms, fractional coordinates:
1 Sr 0.000 0.000 0.000 [1 per cell]
2 Nb 0.500 0.500 0.500 [1 per cell]
3 P 0.500 0.500 0.000 [1 per cell]
4 Cl 0.000 0.500 0.500 [2 per cell]


(12)
DFT (PBE) results for a relaxed structure of Y2TmPaAs4.

Values from the calculation:
ΔH_f (0 K)   -1.418 eV per atom

Lattice parameters (Å, degrees): 7.082 4.105 7.098 90.00 109.48 90.00
Space group P2/m (No. 10)
Inequivalent atoms, fractional coordinates:
1 Y 0.000 0.000 0.000 [1 per cell]
2 Y 0.500 0.500 0.000 [1 per cell]
3 Tm 0.000 0.500 0.500 [1 per cell]
4 Pa 0.500 0.000 0.500 [1 per cell]
5 As 0.249 0.000 0.745 [2 per cell]
6 As 0.251 0.500 0.254 [2 per cell]


(13)
DFT (PBE) results for a relaxed structure of PmDyHoAl.

Values from the calculation:
ΔH_f (0 K)   -0.194 eV per atom
E above lowest polymorph   0.0000 eV per atom

Lattice parameters (Å, degrees): 3.525 3.525 9.073 90.00 90.00 90.00
Space group P4mm (No. 99)
Inequivalent atoms, fractional coordinates:
1 Pm 0.000 0.000 0.000 [1 per cell]
2 Dy 0.500 0.500 0.709 [1 per cell]
3 Ho 0.500 0.500 0.289 [1 per cell]
4 Al 0.000 0.000 0.498 [1 per cell]


(14)
DFT (PBE) results for a relaxed structure of NaBi5Au4.

Values from the calculation:
ΔH_f (0 K)   -0.081 eV per atom

Lattice parameters (Å, degrees): 15.636 4.888 7.121 90.00 90.71 90.00
Space group C2/m (No. 12)
Inequivalent atoms, fractional coordinates:
1 Na 0.000 0.000 0.000 [2 per cell]
2 Bi 0.000 0.000 0.500 [2 per cell]
3 Bi 0.161 0.500 0.505 [4 per cell]
4 Bi 0.162 0.500 0.989 [4 per cell]
5 Au 0.010 0.500 0.237 [4 per cell]
6 Au 0.178 0.000 0.750 [4 per cell]


(15)
DFT (PBE) results for a relaxed structure of MgInCu5.

Values from the calculation:
ΔH_f (0 K)   -0.030 eV per atom

Lattice parameters (Å, degrees): 7.959 4.988 10.588 90.00 90.00 90.00
Space group Pnma (No. 62)
Inequivalent atoms, fractional coordinates:
1 Mg 0.240 0.250 0.061 [4 per cell]
2 In 0.124 0.250 0.363 [4 per cell]
3 Cu 0.062 0.250 0.605 [4 per cell]
4 Cu 0.067 0.503 0.819 [8 per cell]
5 Cu 0.100 0.750 0.020 [4 per cell]
6 Cu 0.187 0.750 0.246 [4 per cell]


(16)
DFT (PBE) results for a relaxed structure of Sc6Ga5Os.

Values from the calculation:
ΔH_f (0 K)   -0.611 eV per atom

Lattice parameters (Å, degrees): 4.699 14.093 6.656 90.00 90.00 90.00
Space group Cmmm (No. 65)
Inequivalent atoms, fractional coordinates:
1 Sc 0.000 0.000 0.249 [4 per cell]
2 Sc 0.000 0.337 0.245 [8 per cell]
3 Ga 0.000 0.163 0.000 [4 per cell]
4 Ga 0.000 0.171 0.500 [4 per cell]
5 Ga 0.000 0.500 0.500 [2 per cell]
6 Os 0.000 0.500 0.000 [2 per cell]


(17)
DFT (PBE) results for a relaxed structure of Tb6GeTe3Ir2.

Values from the calculation:
Formation energy (no corrections)   -1.07 eV per atom

Lattice parameters (Å, degrees): 7.215 12.522 7.679 90.00 108.44 90.00
Space group C2/m (No. 12)
Inequivalent atoms, fractional coordinates:
1 Tb 0.228 0.000 0.212 [4 per cell]
2 Tb 0.242 0.328 0.213 [8 per cell]
3 Ge 0.000 0.500 0.000 [2 per cell]
4 Te 0.000 0.000 0.500 [2 per cell]
5 Te 0.000 0.336 0.500 [4 per cell]
6 Ir 0.000 0.167 0.000 [4 per cell]


(18)
DFT (PBE) results for a relaxed structure of Rb4La3ErO8.

Values from the calculation:
Formation energy (no corrections)   -2.63 eV per atom

Lattice parameters (Å, degrees): 7.3668 7.3668 19.7643 90.00 90.00 120.00
Space group R-3m (No. 166, hexagonal axes)
Inequivalent atoms, fractional coordinates:
1 Rb 0.0000 0.0000 0.0000 [3 per cell]
2 Rb 0.0000 0.5000 0.0000 [9 per cell]
3 La 0.0000 0.5000 0.5000 [9 per cell]
4 Er 0.0000 0.0000 0.5000 [3 per cell]
5 O 0.0000 0.0000 0.2269 [6 per cell]
6 O 0.0145 0.5072 0.2260 [18 per cell]


(19)
DFT (PBE) results for a relaxed structure of BPd3.

Values from the calculation:
ΔH_f (0 K)   -0.204 eV per atom

Lattice parameters (Å, degrees): 2.847 7.818 4.831 90.00 90.00 90.00
Space group Imm2 (No. 44)
Inequivalent atoms, fractional coordinates:
1 B 0.000 0.000 0.000 [2 per cell]
2 Pd 0.000 0.319 0.669 [4 per cell]
3 Pd 0.000 0.500 0.168 [2 per cell]


(20)
DFT (PBE) results for a relaxed structure of GdNbCuRu.

Values from the calculation:
ΔH_f (0 K)   0.003 eV per atom

Lattice parameters (Å, degrees): 6.612 6.612 6.612 90.00 90.00 90.00
Space group F-43m (No. 216)
Inequivalent atoms, fractional coordinates:
1 Gd 0.000 0.000 0.000 [4 per cell]
2 Nb 0.000 0.000 0.500 [4 per cell]
3 Cu 0.250 0.250 0.750 [4 per cell]
4 Ru 0.250 0.250 0.250 [4 per cell]